Computed, not measured: a relaxed Ca3Cd2Ga2Hg4 crystal at the GGA-PBE level of DFT.

E_form = -360 meV/atom
Size of the total moment = 0.00 μB per formula unit
Uncorrected energy = -0.0637 Ha/atom
SG = No. 164

a b c (Å): 4.7413 4.7413 14.3877
angles (deg): 90.00 90.00 120.00
With the nearest neighbours (Å) after each atom.
Positions (direct):
Ca: 0.0000 0.0000 0.7421  6 Hg 3.08-3.37, 3 Ga 3.22
Ca: 0.0000 0.0000 0.0000  6 Hg 3.25, 6 Ga 3.40
Ca: 0.0000 0.0000 0.2579  6 Hg 3.08-3.37, 3 Ga 3.22
Cd: 0.6667 0.3333 0.4378  4 Hg 2.97-2.98, 3 Cd 3.27
Cd: 0.3333 0.6667 0.5622  4 Hg 2.97-2.98, 3 Cd 3.27
Ga: 0.6667 0.3333 0.8593  3 Hg 2.75
Ga: 0.3333 0.6667 0.1407  3 Hg 2.75
Hg: 0.6667 0.3333 0.1217  3 Ga 2.75
Hg: 0.3333 0.6667 0.8783  3 Ga 2.75
Hg: 0.6667 0.3333 0.6443  4 Cd 2.97-2.98, 3 Ca 3.08, 1 Ga 3.09
Hg: 0.3333 0.6667 0.3557  4 Cd 2.97-2.98, 3 Ca 3.08, 1 Ga 3.09